Density functional theory data (PBE-GGA) for crystalline BaPaP2O8 at its relaxed geometry.

Computed properties:
energy relative to the elements, uncorrected	-2.820	eV per atom

The structure in POSCAR format:
```
BaPaP2O8
1.0
5.420 0.000 0.000
-2.710 4.694 0.000
0.000 0.000 7.949
Ba Pa P O
1 1 2 8
Direct
0.000 0.000 0.000
0.000 0.000 0.500
0.333 0.667 0.758
0.667 0.333 0.242
0.136 0.360 0.687
0.224 0.864 0.687
0.333 0.667 0.949
0.360 0.224 0.313
0.640 0.776 0.687
0.667 0.333 0.051
0.776 0.136 0.313
0.864 0.640 0.313
```

Density functional theory data (PBE-GGA) for crystalline Ta2SiICl at its relaxed geometry.

Computed properties:
energy relative to the elements, uncorrected	1.423	eV per atom
DOS(E_F)	3.342	states/eV per cell

The structure in POSCAR format:
```
Ta2SiICl
1.0
4.659 0.000 0.000
0.000 4.659 0.000
0.000 0.000 4.813
Ta Si I Cl
2 1 1 1
Direct
0.000 0.500 0.000
0.500 0.000 0.000
0.000 0.000 0.500
0.500 0.500 0.500
0.000 0.000 0.000
```

Density functional theory data (PBE-GGA) for crystalline CdGeOF2 at its relaxed geometry.

Computed properties:
energy relative to the elements, uncorrected	-1.002	eV per atom
energy above the lowest structure with this stoichiometry	295.2	meV per atom
DOS(E_F)	0.038	states/eV per cell

The structure in POSCAR format:
```
CdGeOF2
1.0
4.293 0.000 0.000
0.000 4.293 0.000
0.000 0.000 4.425
Cd Ge O F
1 1 1 2
Direct
0.000 0.000 0.000
0.500 0.500 0.500
0.000 0.000 0.500
0.000 0.500 0.000
0.500 0.000 0.000
```

Density functional theory data (PBE-GGA) for crystalline LiPm2Co at its relaxed geometry.

Computed properties:
ΔH_f (0 K)	41.3	meV per atom
energy above the lowest structure with this stoichiometry	83.0	meV per atom
DOS(E_F)	3.035	states/eV per cell

The structure in POSCAR format:
```
LiPm2Co
1.0
1.934 1.116 8.609
-1.934 1.116 8.609
0.000 -2.233 8.609
Li Pm Co
1 2 1
Direct
0.000 0.000 0.000
0.226 0.226 0.226
0.774 0.774 0.774
0.500 0.500 0.500
```